(1)
An optimized crystal structure of In2BiAu2. Source: the Alexandria database, functional PBE-GGA.

The space group is P4/mbm (No. 127) and the conventional cell measures 8.120, 8.120 and 3.609 Å, with angles of 90.00, 90.00 and 90.00 degrees. The distinct sites, in fractional coordinates, are In at (0.166, 0.334, 0.000), Bi at (0.000, 0.000, 0.500) and Au at (0.131, 0.631, 0.500).

As for the distance to the lowest polymorph of the same formula: 2.7 kJ/mol of atoms. The value obtained for the calculated formation energy is -9.34 kJ per mole of atoms.


(2)
An optimized crystal structure of In3Bi5Au12. Source: the Alexandria database, functional PBE-GGA.

The space group is Ia-3d (No. 230) and the conventional cell measures 16.425, 16.425 and 16.425 Å, with angles of 90.00, 90.00 and 90.00 degrees. The distinct sites, in fractional coordinates, are In at (0.000, 0.250, 0.125), Bi at (0.000, 0.000, 0.000), Bi at (0.000, 0.250, 0.375) and Au at (0.005, 0.078, 0.656).

The value obtained for the calculated formation energy is 8.11 kJ per mole of atoms.


Number 1: total moment 0.00 μB per cell. Number 2: total moment 0.00 μB per cell.